A plane-wave DFT calculation with PBE-GGA was carried out for a relaxed Tl3CrPb crystal.

```
Tl3CrPb
1.0
5.3394 0.0000 0.0000
0.0000 5.3394 0.0000
0.0000 0.0000 5.3394
Tl Cr Pb
3 1 1
Cartesian
0.0000 0.0000 2.6697 Tl
0.0000 2.6697 0.0000 Tl
2.6697 0.0000 0.0000 Tl
0.0000 0.0000 0.0000 Cr
2.6697 2.6697 2.6697 Pb
```

Output
calculated volume: 152 Å³ per cell
SG: No. 221
theoretical density: 9.5 g/cm3
E above lowest polymorph: 0.000 eV per atom